Computed, not measured: crystalline Zn2AgPt at its relaxed geometry at the GGA-PBE level of DFT.

Computed properties:
* DOS(E_F): 1.4 states/eV/cell
* calculated total energy: -3.150 eV/atom
* energy relative to the elements: -0.29 eV per atom
* magnetization: 0.0 μB/f.u.

The structure in extended XYZ format:
```
4
Lattice="2.887 0.000 0.000 0.000 4.562 0.000 0.000 0.000 4.628" Properties=species:S:1:pos:R:3 pbc="T T T"
Zn 0.000 0.000 0.000
Zn 0.000 2.281 1.999
Ag 1.444 2.281 4.303
Pt 1.444 0.000 2.297
```

=====

Computed, not measured: crystalline Ce2Ga12Ir at its relaxed geometry at the GGA-PBE level of DFT.

Computed properties:
* DOS(E_F): 22.8 states/eV/cell
* calculated total energy: -4.228 eV/atom
* energy relative to the elements: -0.43 eV per atom
* magnetization: 0.9 μB/f.u.

The structure in extended XYZ format:
```
30
Lattice="6.108 0.000 0.000 0.000 6.108 0.000 0.000 0.000 15.566" Properties=species:S:1:pos:R:3 pbc="T T T"
Ce 1.527 4.581 3.720
Ce 1.527 4.581 11.846
Ce 4.581 1.527 3.720
Ce 4.581 1.527 11.846
Ga 0.001 6.107 1.369
Ga 6.107 0.001 14.197
Ga 6.107 3.053 1.369
Ga 0.001 3.055 14.197
Ga 0.494 3.548 6.695
Ga 0.494 5.614 8.871
Ga 1.527 1.527 2.940
Ga 1.527 1.527 5.371
Ga 1.527 1.527 10.196
Ga 1.527 1.527 12.626
Ga 2.560 3.548 8.871
Ga 2.560 5.614 6.695
Ga 3.055 0.001 1.369
Ga 3.053 6.107 14.197
Ga 3.053 3.055 1.369
Ga 3.055 3.053 14.197
Ga 3.548 0.494 8.871
Ga 3.548 2.560 6.695
Ga 4.581 4.581 2.940
Ga 4.581 4.581 5.371
Ga 4.581 4.581 10.196
Ga 4.581 4.581 12.626
Ga 5.614 0.494 6.695
Ga 5.614 2.560 8.871
Ir 1.527 4.581 0.000
Ir 4.581 1.527 0.000
```

=====

Question: Which value of energy relative to the elements does entry 1 give?
Answer: -0.29 eV per atom

=====

Question: Number 2 is which compound?
Answer: Ce2Ga12Ir

=====

What did the second record say?
Computed, not measured: crystalline Ce2Ga12Ir at its relaxed geometry at the GGA-PBE level of DFT.

Computed properties:
* DOS(E_F): 22.8 states/eV/cell
* calculated total energy: -4.228 eV/atom
* energy relative to the elements: -0.43 eV per atom
* magnetization: 0.9 μB/f.u.

The structure in extended XYZ format:
```
30
Lattice="6.108 0.000 0.000 0.000 6.108 0.000 0.000 0.000 15.566" Properties=species:S:1:pos:R:3 pbc="T T T"
Ce 1.527 4.581 3.720
Ce 1.527 4.581 11.846
Ce 4.581 1.527 3.720
Ce 4.581 1.527 11.846
Ga 0.001 6.107 1.369
Ga 6.107 0.001 14.197
Ga 6.107 3.053 1.369
Ga 0.001 3.055 14.197
Ga 0.494 3.548 6.695
Ga 0.494 5.614 8.871
Ga 1.527 1.527 2.940
Ga 1.527 1.527 5.371
Ga 1.527 1.527 10.196
Ga 1.527 1.527 12.626
Ga 2.560 3.548 8.871
Ga 2.560 5.614 6.695
Ga 3.055 0.001 1.369
Ga 3.053 6.107 14.197
Ga 3.053 3.055 1.369
Ga 3.055 3.053 14.197
Ga 3.548 0.494 8.871
Ga 3.548 2.560 6.695
Ga 4.581 4.581 2.940
Ga 4.581 4.581 5.371
Ga 4.581 4.581 10.196
Ga 4.581 4.581 12.626
Ga 5.614 0.494 6.695
Ga 5.614 2.560 8.871
Ir 1.527 4.581 0.000
Ir 4.581 1.527 0.000
```